--- one ---
Density functional theory data (PBE-GGA) for a geometry-optimized LaYSeN2 structure.

```
5
Lattice="4.4028 0.0000 0.0000 0.0000 4.4028 0.0000 0.0000 0.0000 5.5014" Properties=species:S:1:pos:R:3 pbc="T T T"
La 0.0000 0.0000 0.0000
Y 2.2014 2.2014 2.7507
Se 2.2014 2.2014 0.0000
N 0.0000 2.2014 2.7507
N 2.2014 0.0000 2.7507
```

space-group type	P4/mmm (123)
crystal system	tetragonal
calculated volume	21.3	Å³ per atom
density of states at the Fermi level	2.12	states/eV/cell
total magnetic moment	0.81	μB per formula unit

--- two ---
Density functional theory data (PBE-GGA) for a geometry-optimized LaYSeN2 structure.

```
5
Lattice="4.3209 0.0000 0.0000 0.0000 4.3209 0.0000 0.0000 0.0000 5.8589" Properties=species:S:1:pos:R:3 pbc="T T T"
La 0.0000 0.0000 0.0000
Y 2.1605 2.1605 2.9294
Se 0.0000 0.0000 2.9294
N 0.0000 2.1605 0.0000
N 2.1605 0.0000 0.0000
```

space-group type	P4/mmm (123)
crystal system	tetragonal
calculated volume	21.9	Å³ per atom
density of states at the Fermi level	1.41	states/eV/cell
total magnetic moment	0.14	μB per formula unit

Most stable of them? one.